Record 1
Nb6FeRu2: relaxed, PBE.

Results
- Total energy: -9.450 eV per atom

Cell lengths 4.383, 6.104, 12.744 Å; angles 90.00, 90.00, 90.00 degrees
Space group Immm (No. 71)
Unique sites:
Nb 0.000 0.239 0.000 [4 per cell]
Nb 0.000 0.253 0.339 [8 per cell]
Fe 0.000 0.500 0.500 [2 per cell]
Ru 0.000 0.500 0.168 [4 per cell]


Record 2
ScNbFeRu: relaxed, PBE.

Results
- Total energy: -8.871 eV per atom

Cell lengths 3.143, 3.143, 6.317 Å; angles 90.00, 90.00, 90.00 degrees
Space group P4mm (No. 99)
Unique sites:
Sc 0.000 0.000 0.000 [1 per cell]
Nb 0.000 0.000 0.485 [1 per cell]
Fe 0.500 0.500 0.263 [1 per cell]
Ru 0.500 0.500 0.735 [1 per cell]


Record 3
NbFeSiRu: relaxed, PBE.

Results
- Formation energy from raw total energies: -1.5 eV per formula unit
- Total energy: -8.678 eV per atom

Cell lengths 6.029, 6.029, 6.029 Å; angles 90.00, 90.00, 90.00 degrees
Space group F-43m (No. 216)
Unique sites:
Nb 0.000 0.000 0.000 [4 per cell]
Fe 0.250 0.250 0.250 [4 per cell]
Si 0.000 0.000 0.500 [4 per cell]
Ru 0.250 0.250 0.750 [4 per cell]


Record 4
Nb2Fe2SiRu5: relaxed, PBE.

Results
- Formation energy from raw total energies: -0.6 eV per formula unit
- Total energy: -8.951 eV per atom

Cell lengths 8.704, 8.704, 3.788 Å; angles 90.00, 90.00, 90.00 degrees
Space group P4/mbm (No. 127)
Unique sites:
Nb 0.160 0.340 0.000 [4 per cell]
Fe 0.135 0.635 0.000 [4 per cell]
Si 0.000 0.000 0.000 [2 per cell]
Ru 0.000 0.500 0.500 [2 per cell]
Ru 0.075 0.803 0.500 [8 per cell]


Record 5
TiNbFeRu: relaxed, PBE.

Results
- Total energy: -9.262 eV per atom

Cell lengths 6.178, 6.178, 6.178 Å; angles 90.00, 90.00, 90.00 degrees
Space group F-43m (No. 216)
Unique sites:
Ti 0.000 0.000 0.000 [4 per cell]
Nb 0.000 0.000 0.500 [4 per cell]
Fe 0.250 0.250 0.750 [4 per cell]
Ru 0.250 0.250 0.250 [4 per cell]


Record 6
Nb2TlFeRu: relaxed, PBE.

Results
- Total energy: -7.035 eV per atom

Cell lengths 4.510, 4.510, 4.783 Å; angles 90.00, 90.00, 90.00 degrees
Space group P4/mmm (No. 123)
Unique sites:
Nb 0.000 0.500 0.000 [2 per cell]
Tl 0.000 0.000 0.500 [1 per cell]
Fe 0.000 0.000 0.000 [1 per cell]
Ru 0.500 0.500 0.500 [1 per cell]


Record 7
TmNbFeRu: relaxed, PBE.

Results
- Total energy: -8.225 eV per atom

Cell lengths 6.418, 6.418, 6.418 Å; angles 90.00, 90.00, 90.00 degrees
Space group F-43m (No. 216)
Unique sites:
Tm 0.000 0.000 0.000 [4 per cell]
Nb 0.000 0.000 0.500 [4 per cell]
Fe 0.250 0.250 0.750 [4 per cell]
Ru 0.250 0.250 0.250 [4 per cell]


Record 8
NbZn2FeRu: relaxed, PBE.

Results
- Total energy: -4.422 eV per atom

Cell lengths 4.857, 4.857, 4.284 Å; angles 90.00, 90.00, 90.00 degrees
Space group P4/mmm (No. 123)
Unique sites:
Nb 0.000 0.000 0.000 [1 per cell]
Zn 0.000 0.500 0.000 [2 per cell]
Fe 0.000 0.000 0.500 [1 per cell]
Ru 0.500 0.500 0.500 [1 per cell]


Going through the records in order, we get density values of 7.943 7.842 8.424 9.617 8.387 9.340 10.521 6.254 g cm⁻³.